1.
Crystalline MoAsH3 at its relaxed geometry. Source: the Alexandria database, functional GGA-PBEsol.

```
MoAsH3
1.0
3.487 0.000 0.000
0.000 3.487 0.000
0.000 0.000 3.487
H As Mo
3 1 1
Direct
0.000 0.500 0.000
0.000 0.000 0.500
0.500 0.000 0.000
0.000 0.000 0.000
0.500 0.500 0.500
```

Calculated values
- Fermi-level density of states (states/eV/f.u.) = 2.0
- calculated total energy (eV per formula unit) = -21.376
- total moment (μB per formula unit) = 0.0
- space-group type = Pm-3m

=====

2.
Crystalline BaPbBr2 at its relaxed geometry. Source: the Alexandria database, functional GGA-PBEsol.

```
BaPbBr2
1.0
-2.619 3.063 1.186
-0.697 -2.227 4.214
4.876 3.201 2.498
Pb Ba Br
1 1 2
Direct
0.500 0.500 0.000
0.000 0.500 0.500
0.500 0.000 0.500
0.000 0.000 0.000
```

Calculated values
- polymorph energy (0 for the lowest one) (eV/atom) = 0.000
- Fermi-level density of states (states/eV/f.u.) = 1.8
- ΔE_f (raw) (eV per atom) = -1.16
- calculated total energy (eV per formula unit) = -14.509
- total moment (μB per formula unit) = 0.0
- space-group type = Pmmm

=====

3.
Crystalline CrRu2Se at its relaxed geometry. Source: the Alexandria database, functional GGA-PBEsol.

```
CrRu2Se
1.0
2.863 0.000 0.000
0.000 3.723 0.000
0.000 0.000 5.171
Ru Cr Se
2 1 1
Direct
0.500 0.500 0.279
0.000 0.000 0.960
0.500 0.500 0.785
0.000 0.000 0.476
```

Calculated values
- Fermi-level density of states (states/eV/f.u.) = 3.8
- ΔE_f (raw) (eV per atom) = 0.29
- calculated total energy (eV per formula unit) = -33.265
- total moment (μB per formula unit) = 1.5
- space-group type = Pmm2

=====

4.
Crystalline BeOsRu2 at its relaxed geometry. Source: the Alexandria database, functional GGA-PBEsol.

```
BeOsRu2
1.0
-2.014 1.621 -1.017
-2.871 -2.091 2.353
0.612 2.773 3.210
Os Ru Be
1 2 1
Direct
0.000 0.500 0.500
0.000 0.000 0.000
0.500 0.500 0.000
0.500 0.000 0.500
```

Calculated values
- Fermi-level density of states (states/eV/f.u.) = 4.5
- calculated total energy (eV per formula unit) = -35.250
- calculated formation energy (eV/atom) = 0.3277
- total moment (μB per formula unit) = 0.0
- space-group type = Pmmm